Material: TmHfNiIr
Method: DFT, GGA-PBE
State: optimized geometry

abc: 4.664 4.664 4.664
angles: 60.00 60.00 60.00
Fractional coordinates of all 4 atoms:
Ni (0.250, 0.250, 0.250)
Hf (0.500, 0.500, 0.500)
Ir (0.750, 0.750, 0.750)
Tm (0.000, 0.000, 0.000)

Computed properties:
calculated total energy	-7.95	eV per atom
volume	17.9	Å³/atom
SG	F-43m

---

Material: Pr3Nd3Tm4
Method: DFT, GGA-PBE
State: optimized geometry

abc: 3.643 9.694 9.694
angles: 89.99 90.00 90.00
Site moments in Bohr magnetons follow the coordinates.
Fractional coordinates of all 10 atoms:
Pr (0.500, 0.175, 0.825)  0.00
Nd (0.500, 0.325, 0.325)  0.00
Pr (0.000, 0.000, 0.499)  0.12
Pr (0.000, 0.501, 0.000)  0.12
Tm (0.000, 0.878, 0.879)  0.00
Nd (0.500, 0.675, 0.675)  0.00
Tm (0.000, 0.121, 0.122)  0.00
Tm (0.000, 0.379, 0.621)  0.00
Tm (0.000, 0.621, 0.379)  0.00
Nd (0.500, 0.825, 0.175)  0.00

Computed properties:
calculated total energy	-4.57	eV per atom
volume	34.2	Å³/atom
SG	Amm2

---

Material: Mg2ZrW
Method: DFT, GGA-PBE
State: optimized geometry

abc: 5.022 2.866 5.543
angles: 76.81 90.00 90.00
Fractional coordinates of all 4 atoms:
W (0.500, 0.250, 0.250)
Zr (0.500, 0.750, 0.750)
Mg (0.000, 0.039, 0.016)
Mg (0.000, 0.461, 0.484)

Computed properties:
calculated total energy	-5.86	eV per atom
volume	19.4	Å³/atom
distance to the lowest polymorph of the same formula	106	meV per atom
SG	P2/m